First-principles (GGA-PBE) data for a relaxed KLaI2O crystal, as listed in Alexandria via LeMat-Bulk.

Results
* theoretical density: 3.8 g/cm3
* formation energy from raw total energies: -1.96 eV/atom
* density of states at the Fermi level: 0.000 states/eV/f.u.

Cell lengths 6.6534, 6.6534, 4.3796 Å; angles 90.00, 90.00, 90.00 degrees
With the nearest neighbours (Å) after each atom.
Space group P4/mmm (No. 123)
Asymmetric unit:
K 0.0000 0.0000 0.0000 (multiplicity 1)  8 I 3.98, 2 K 4.38
La 0.5000 0.5000 0.5000 (multiplicity 1)  2 O 2.19
I 0.0000 0.5000 0.5000 (multiplicity 2)  2 La 3.33
O 0.5000 0.5000 0.0000 (multiplicity 1)  2 La 2.19